No. 1
Compound: ZnPSCl2
Source: Alexandria via LeMat-Bulk
Functional: PBE
Structure: optimized geometry

Cell: 4.619 4.619 5.168 Å, 90.00 90.00 90.00°
Space group P4/mmm (No. 123)
Inequivalent atoms, fractional coordinates:
Zn (0.000, 0.000, 0.000) (multiplicity 1)
P (0.500, 0.500, 0.500) (multiplicity 1)
S (0.000, 0.000, 0.500) (multiplicity 1)
Cl (0.000, 0.500, 0.000) (multiplicity 2)

Computed properties:
Relative energy among the computed polymorphs ... 220 meV/atom
DOS(E_F) ... 0.535 states/eV/atom
Energy relative to the elements, uncorrected ... 0.3475 eV/atom
Calculated density ... 3.00 g/cm3

No. 2
Compound: ZnP2SCl
Source: Alexandria via LeMat-Bulk
Functional: PBE
Structure: optimized geometry

Cell: 4.758 4.758 4.543 Å, 90.00 90.00 90.00°
Space group P4/mmm (No. 123)
Inequivalent atoms, fractional coordinates:
Zn (0.000, 0.000, 0.000) (multiplicity 1)
P (0.000, 0.500, 0.000) (multiplicity 2)
S (0.500, 0.500, 0.500) (multiplicity 1)
Cl (0.000, 0.000, 0.500) (multiplicity 1)

Computed properties:
Relative energy among the computed polymorphs ... 42 meV/atom
DOS(E_F) ... 0.716 states/eV/atom
Energy relative to the elements, uncorrected ... 0.8849 eV/atom
Calculated density ... 3.15 g/cm3

No. 3
Compound: ZnP2SCl
Source: Alexandria via LeMat-Bulk
Functional: PBE
Structure: optimized geometry

Cell: 4.592 4.592 4.961 Å, 90.00 90.00 90.00°
Space group P4/mmm (No. 123)
Inequivalent atoms, fractional coordinates:
Zn (0.000, 0.000, 0.000) (multiplicity 1)
P (0.000, 0.500, 0.500) (multiplicity 2)
S (0.500, 0.500, 0.500) (multiplicity 1)
Cl (0.500, 0.500, 0.000) (multiplicity 1)

Computed properties:
Relative energy among the computed polymorphs ... 0 meV/atom
DOS(E_F) ... 0.558 states/eV/atom
Energy relative to the elements, uncorrected ... 0.8433 eV/atom
Calculated density ... 3.09 g/cm3

No. 4
Compound: ZnP2SCl
Source: Alexandria via LeMat-Bulk
Functional: PBE
Structure: optimized geometry

Cell: 4.583 4.583 4.905 Å, 90.00 90.00 90.00°
Space group P4/mmm (No. 123)
Inequivalent atoms, fractional coordinates:
Zn (0.000, 0.000, 0.000) (multiplicity 1)
P (0.000, 0.500, 0.500) (multiplicity 2)
S (0.500, 0.500, 0.000) (multiplicity 1)
Cl (0.500, 0.500, 0.500) (multiplicity 1)

Computed properties:
Relative energy among the computed polymorphs ... 473 meV/atom
DOS(E_F) ... 0.976 states/eV/atom
Energy relative to the elements, uncorrected ... 1.3158 eV/atom
Calculated density ... 3.14 g/cm3

No. 5
Compound: ZnP2SCl
Source: Alexandria via LeMat-Bulk
Functional: PBE
Structure: optimized geometry

Cell: 4.784 4.784 4.530 Å, 90.00 90.00 90.00°
Space group P4/mmm (No. 123)
Inequivalent atoms, fractional coordinates:
Zn (0.000, 0.000, 0.000) (multiplicity 1)
P (0.000, 0.500, 0.000) (multiplicity 2)
S (0.000, 0.000, 0.500) (multiplicity 1)
Cl (0.500, 0.500, 0.500) (multiplicity 1)

Computed properties:
Relative energy among the computed polymorphs ... 89 meV/atom
DOS(E_F) ... 0.869 states/eV/atom
Energy relative to the elements, uncorrected ... 0.9321 eV/atom
Calculated density ... 3.12 g/cm3

No. 6
Compound: ZnPSCl2
Source: Alexandria via LeMat-Bulk
Functional: PBE
Structure: optimized geometry

Cell: 4.607 4.607 5.268 Å, 90.00 90.00 90.00°
Space group P4/mmm (No. 123)
Inequivalent atoms, fractional coordinates:
Zn (0.000, 0.000, 0.000) (multiplicity 1)
P (0.000, 0.000, 0.500) (multiplicity 1)
S (0.500, 0.500, 0.500) (multiplicity 1)
Cl (0.000, 0.500, 0.000) (multiplicity 2)

Computed properties:
Relative energy among the computed polymorphs ... 335 meV/atom
DOS(E_F) ... 0.463 states/eV/atom
Energy relative to the elements, uncorrected ... 0.4628 eV/atom
Calculated density ... 2.96 g/cm3

No. 7
Compound: ZrPSCl2
Source: Alexandria via LeMat-Bulk
Functional: PBE
Structure: optimized geometry

Cell: 4.618 4.618 4.839 Å, 90.00 90.00 90.00°
Space group P4/mmm (No. 123)
Inequivalent atoms, fractional coordinates:
Zr (0.000, 0.000, 0.000) (multiplicity 1)
P (0.500, 0.500, 0.000) (multiplicity 1)
S (0.500, 0.500, 0.500) (multiplicity 1)
Cl (0.000, 0.500, 0.500) (multiplicity 2)

Computed properties:
Relative energy among the computed polymorphs ... 877 meV/atom
DOS(E_F) ... 1.064 states/eV/atom
Energy relative to the elements, uncorrected ... 0.4596 eV/atom
Calculated density ... 3.62 g/cm3

No. 8
Compound: ZrPS2Cl
Source: Alexandria via LeMat-Bulk
Functional: PBE
Structure: optimized geometry

Cell: 4.884 4.884 5.357 Å, 90.00 90.00 90.00°
Space group P4/mmm (No. 123)
Inequivalent atoms, fractional coordinates:
Zr (0.000, 0.000, 0.000) (multiplicity 1)
P (0.000, 0.000, 0.500) (multiplicity 1)
S (0.000, 0.500, 0.000) (multiplicity 2)
Cl (0.500, 0.500, 0.500) (multiplicity 1)

Computed properties:
Relative energy among the computed polymorphs ... 156 meV/atom
DOS(E_F) ... 1.051 states/eV/atom
Energy relative to the elements, uncorrected ... -0.0342 eV/atom
Calculated density ... 2.88 g/cm3

No. 9
Compound: ZrPS2Cl
Source: Alexandria via LeMat-Bulk
Functional: PBE
Structure: optimized geometry

Cell: 4.617 4.617 4.474 Å, 90.00 90.00 90.00°
Space group P4/mmm (No. 123)
Inequivalent atoms, fractional coordinates:
Zr (0.000, 0.000, 0.000) (multiplicity 1)
P (0.500, 0.500, 0.500) (multiplicity 1)
S (0.000, 0.500, 0.500) (multiplicity 2)
Cl (0.500, 0.500, 0.000) (multiplicity 1)

Computed properties:
Relative energy among the computed polymorphs ... 273 meV/atom
DOS(E_F) ... 0.861 states/eV/atom
Energy relative to the elements, uncorrected ... 0.0824 eV/atom
Calculated density ... 3.86 g/cm3

No. 10
Compound: ZrPS2Cl
Source: Alexandria via LeMat-Bulk
Functional: PBE
Structure: optimized geometry

Cell: 5.018 5.018 5.049 Å, 90.00 90.00 90.00°
Space group P4/mmm (No. 123)
Inequivalent atoms, fractional coordinates:
Zr (0.000, 0.000, 0.000) (multiplicity 1)
P (0.500, 0.500, 0.500) (multiplicity 1)
S (0.000, 0.500, 0.000) (multiplicity 2)
Cl (0.000, 0.000, 0.500) (multiplicity 1)

Computed properties:
Relative energy among the computed polymorphs ... 0 meV/atom
DOS(E_F) ... 0.545 states/eV/atom
Energy relative to the elements, uncorrected ... -0.1901 eV/atom
Calculated density ... 2.90 g/cm3

No. 11
Compound: ZrPS2Cl
Source: Alexandria via LeMat-Bulk
Functional: PBE
Structure: optimized geometry

Cell: 4.593 4.593 4.511 Å, 90.00 90.00 90.00°
Space group P4/mmm (No. 123)
Inequivalent atoms, fractional coordinates:
Zr (0.000, 0.000, 0.000) (multiplicity 1)
P (0.500, 0.500, 0.000) (multiplicity 1)
S (0.000, 0.500, 0.500) (multiplicity 2)
Cl (0.500, 0.500, 0.500) (multiplicity 1)

Computed properties:
Relative energy among the computed polymorphs ... 815 meV/atom
DOS(E_F) ... 0.748 states/eV/atom
Energy relative to the elements, uncorrected ... 0.6253 eV/atom
Calculated density ... 3.87 g/cm3

No. 12
Compound: ZrPSCl2
Source: Alexandria via LeMat-Bulk
Functional: PBE
Structure: optimized geometry

Cell: 4.856 4.856 5.380 Å, 90.00 90.00 90.00°
Space group P4/mmm (No. 123)
Inequivalent atoms, fractional coordinates:
Zr (0.000, 0.000, 0.000) (multiplicity 1)
P (0.000, 0.000, 0.500) (multiplicity 1)
S (0.500, 0.500, 0.500) (multiplicity 1)
Cl (0.000, 0.500, 0.000) (multiplicity 2)

Computed properties:
Relative energy among the computed polymorphs ... 204 meV/atom
DOS(E_F) ... 1.111 states/eV/atom
Energy relative to the elements, uncorrected ... -0.2126 eV/atom
Calculated density ... 2.95 g/cm3

No. 13
Compound: ZrPSCl2
Source: Alexandria via LeMat-Bulk
Functional: PBE
Structure: optimized geometry

Cell: 5.136 5.136 4.965 Å, 90.00 90.00 90.00°
Space group P4/mmm (No. 123)
Inequivalent atoms, fractional coordinates:
Zr (0.000, 0.000, 0.000) (multiplicity 1)
P (0.500, 0.500, 0.500) (multiplicity 1)
S (0.000, 0.000, 0.500) (multiplicity 1)
Cl (0.000, 0.500, 0.000) (multiplicity 2)

Computed properties:
Relative energy among the computed polymorphs ... 0 meV/atom
DOS(E_F) ... 0.370 states/eV/atom
Energy relative to the elements, uncorrected ... -0.4170 eV/atom
Calculated density ... 2.85 g/cm3

No. 14
Compound: ZrPS4Cl
Source: Alexandria via LeMat-Bulk
Functional: PBE
Structure: optimized geometry

Cell: 9.726 8.279 9.730 Å, 90.00 105.95 90.00°
Space group C2/m (No. 12)
Inequivalent atoms, fractional coordinates:
Zr (0.216, 0.000, 0.065) (multiplicity 4)
P (0.144, 0.500, 0.244) (multiplicity 4)
S (0.059, 0.500, 0.728) (multiplicity 4)
S (0.172, 0.321, 0.088) (multiplicity 8)
S (0.211, 0.000, 0.576) (multiplicity 4)
Cl (0.011, 0.000, 0.177) (multiplicity 4)

Computed properties:
Energy relative to the elements, uncorrected ... -0.7738 eV/atom
Calculated density ... 2.52 g/cm3